{
  "formula": "Li3TmAg4",
  "functional": "PBE",
  "state": "relaxed",
  "m_tot_mub_per_fu": 0.00,
  "e_form_ev_per_atom": -0.221,
  "cell": [[-1.739, 0.878, 2.751], [-0.401, -3.253, 0.785], [10.785, 0.291, 6.723]],
  "species": ["Tm", "Ag", "Ag", "Ag", "Ag", "Li", "Li", "Li"],
  "fractional_positions": [[0.500, 0.500, 0.000], [0.000, 0.000, 0.848], [0.000, 0.000, 0.152], [0.000, 0.000, 0.384], [0.000, 0.000, 0.616], [0.500, 0.500, 0.268], [0.500, 0.500, 0.500], [0.500, 0.500, 0.732]]
}